Entry 1:
Density functional theory data (PBE-GGA) for a relaxed structure of YCr2Cl.

Structure (POSCAR):
```
YCr2Cl
1.0
5.197 0.205 0.000
1.122 5.079 0.000
-3.160 -2.642 3.177
Cl Cr Y
1 2 1
Direct
0.750 0.250 0.500
0.250 0.750 0.500
0.000 0.000 0.000
0.500 0.500 0.000
```

Results
Relative energy among the computed polymorphs (meV/atom): 462

Entry 2:
Density functional theory data (PBE-GGA) for a relaxed structure of CaPPb2.

Structure (POSCAR):
```
CaPPb2
1.0
-3.620 -2.242 1.221
-0.340 -1.801 -4.314
2.895 -3.910 1.404
Pb Ca P
2 1 1
Direct
0.000 0.000 0.000
0.500 0.500 0.000
0.500 0.000 0.500
0.000 0.500 0.500
```

Results
Energy of formation (meV/atom): -207

Entry 3:
Density functional theory data (PBE-GGA) for a relaxed structure of Tb2Al2AgPt5.

Structure (POSCAR):
```
Tb2Al2AgPt5
1.0
3.728 0.000 0.000
0.000 9.819 0.000
0.000 0.000 9.819
Tb Pt Ag Al
4 10 2 4
Direct
0.000 0.322 0.822
0.000 0.678 0.178
0.000 0.178 0.322
0.000 0.822 0.678
0.500 0.500 0.000
0.500 0.790 0.935
0.500 0.065 0.790
0.500 0.290 0.565
0.500 0.000 0.500
0.500 0.565 0.710
0.500 0.435 0.290
0.500 0.210 0.065
0.500 0.935 0.210
0.500 0.710 0.435
0.000 0.500 0.500
0.000 0.000 0.000
0.000 0.620 0.880
0.000 0.880 0.380
0.000 0.120 0.620
0.000 0.380 0.120
```

Results
Energy of formation (meV/atom): -871

Entry 4:
Density functional theory data (PBE-GGA) for a relaxed structure of Cd2NiCl.

Structure (POSCAR):
```
Cd2NiCl
1.0
3.625 0.000 0.000
0.000 3.630 0.000
0.000 0.000 7.187
Cl Cd Ni
1 2 1
Direct
0.000 0.000 0.432
0.500 0.500 0.247
0.000 0.000 0.925
0.500 0.500 0.896
```

Results
Relative energy among the computed polymorphs (meV/atom): 182

Entry 5:
Density functional theory data (PBE-GGA) for a relaxed structure of La3PmTm.

Structure (POSCAR):
```
La3PmTm
1.0
-2.089 -2.206 -5.214
4.847 -2.003 2.398
-6.383 -8.221 6.037
La Pm Tm
6 2 2
Direct
0.647 0.295 0.098
0.353 0.705 0.598
0.353 0.705 0.902
0.947 0.895 0.250
0.647 0.295 0.402
0.053 0.105 0.750
0.000 0.000 0.000
0.000 0.000 0.500
0.296 0.591 0.250
0.704 0.409 0.750
```

Results
Energy of formation (meV/atom): 199

Entry 6:
Density functional theory data (PBE-GGA) for a relaxed structure of CsNiHg2Pb.

Structure (POSCAR):
```
CsNiHg2Pb
1.0
5.394 0.000 0.000
0.000 5.394 0.000
0.000 0.000 5.140
Pb Ni Hg Cs
1 1 2 1
Direct
0.000 0.000 0.500
0.000 0.000 0.000
0.000 0.500 0.000
0.500 0.000 0.000
0.500 0.500 0.500
```

Results
Energy of formation (meV/atom): -29

Entry 7:
Density functional theory data (PBE-GGA) for a relaxed structure of ScTeI2Br.

Structure (POSCAR):
```
ScTeI2Br
1.0
-2.277 -4.441 2.635
3.180 -3.475 -3.109
4.364 0.247 4.187
Te I Sc Br
1 2 1 1
Direct
0.000 0.000 0.500
0.000 0.500 0.000
0.500 0.000 0.000
0.500 0.500 0.500
0.000 0.000 0.000
```

Results
Relative energy among the computed polymorphs (meV/atom): 902

Entry 8:
Density functional theory data (PBE-GGA) for a relaxed structure of LiDyTh2Se5.

Structure (POSCAR):
```
LiDyTh2Se5
1.0
4.040 0.000 0.000
-2.020 8.630 0.000
0.000 0.000 12.553
Dy Se Th Li
2 10 4 2
Direct
0.805 0.610 0.500
0.195 0.390 0.000
0.500 0.000 0.288
0.692 0.383 0.840
0.361 0.721 0.998
0.500 0.000 0.788
0.288 0.576 0.661
0.308 0.617 0.340
0.955 0.911 0.575
0.639 0.279 0.498
0.712 0.424 0.161
0.045 0.089 0.075
0.129 0.258 0.298
0.890 0.780 0.182
0.871 0.742 0.798
0.110 0.220 0.682
0.490 0.981 0.482
0.510 0.019 0.982
```

Results
Energy (eV per atom): -5.91

Entry 9:
Density functional theory data (PBE-GGA) for a relaxed structure of SrPuCuO6.

Structure (POSCAR):
```
SrPuCuO6
1.0
5.269 0.000 0.000
-2.635 4.563 0.000
0.000 0.000 11.099
O Pu Sr Cu
12 2 2 2
Direct
0.004 0.370 0.647
0.370 0.366 0.353
0.630 0.634 0.647
0.366 0.370 0.853
0.004 0.634 0.853
0.996 0.630 0.353
0.996 0.366 0.147
0.634 0.004 0.353
0.634 0.630 0.147
0.366 0.996 0.647
0.630 0.996 0.853
0.370 0.004 0.147
0.333 0.667 0.750
0.667 0.333 0.250
0.000 0.000 0.000
0.000 0.000 0.500
0.333 0.667 0.250
0.667 0.333 0.750
```

Results
Energy (eV per atom): -7.48

Entry 10:
Density functional theory data (PBE-GGA) for a relaxed structure of SrHfMgTc2.

Structure (POSCAR):
```
SrHfMgTc2
1.0
4.873 0.000 0.000
0.000 5.024 0.000
0.000 0.000 4.873
Mg Hf Tc Sr
1 1 2 1
Direct
0.000 0.000 0.000
0.000 0.500 0.000
0.000 0.000 0.500
0.500 0.000 0.000
0.500 0.500 0.500
```

Results
Energy of formation (meV/atom): 1488

Entry 11:
Density functional theory data (PBE-GGA) for a relaxed structure of ScTlO3.

Structure (POSCAR):
```
ScTlO3
1.0
-1.104 1.080 2.517
-2.806 -4.965 0.900
2.546 -4.262 2.946
O Tl Sc
3 1 1
Direct
0.720 0.255 0.219
0.720 0.786 0.218
0.720 0.257 0.749
0.220 0.433 0.396
0.220 0.099 0.062
```

Results
Energy (eV per atom): -6.54

Entry 12:
Density functional theory data (PBE-GGA) for a relaxed structure of Ce4NdHo3S8.

Structure (POSCAR):
```
Ce4NdHo3S8
1.0
7.936 0.000 0.000
0.000 7.981 0.027
-3.968 -3.964 5.614
S Ho Ce Nd
8 3 4 1
Direct
0.251 0.742 0.991
0.251 0.742 0.502
0.255 0.264 0.509
0.261 0.258 0.009
0.749 0.258 0.009
0.745 0.736 0.491
0.739 0.742 0.991
0.749 0.258 0.498
0.500 0.500 0.500
0.000 0.500 0.500
0.500 0.500 0.000
0.000 0.000 0.500
0.500 0.000 0.500
0.000 0.000 0.000
0.500 0.000 0.000
0.000 0.500 0.000
```

Results
Energy (eV per atom): -6.72

Entry 13:
Density functional theory data (PBE-GGA) for a relaxed structure of CdHPb2.

Structure (POSCAR):
```
CdHPb2
1.0
5.915 0.000 0.000
0.000 5.915 0.000
2.957 2.957 6.263
Pb Cd H
4 2 2
Direct
0.375 0.503 0.750
0.875 0.747 0.750
0.497 0.125 0.250
0.253 0.625 0.250
0.750 0.250 0.500
0.000 0.000 0.000
0.250 0.750 0.500
0.500 0.500 0.000
```

Results
Relative energy among the computed polymorphs (meV/atom): 0

Entry 14:
Density functional theory data (PBE-GGA) for a relaxed structure of Nb2Tl2Sb.

Structure (POSCAR):
```
Nb2Tl2Sb
1.0
8.807 0.000 0.000
0.000 8.807 0.000
0.000 0.000 3.055
Nb Sb Tl
4 2 4
Direct
0.108 0.608 0.500
0.392 0.108 0.500
0.608 0.892 0.500
0.892 0.392 0.500
0.000 0.000 0.000
0.500 0.500 0.000
0.817 0.683 0.000
0.183 0.317 0.000
0.317 0.817 0.000
0.683 0.183 0.000
```

Results
Relative energy among the computed polymorphs (meV/atom): 0

Entry 15:
Density functional theory data (PBE-GGA) for a relaxed structure of ZrTe2Se.

Structure (POSCAR):
```
ZrTe2Se
1.0
4.820 0.000 0.000
0.000 4.246 0.022
0.000 2.340 5.181
Te Zr Se
2 1 1
Direct
0.000 0.976 0.926
0.500 0.226 0.311
0.000 0.678 0.508
0.500 0.620 0.755
```

Results
Energy (eV per atom): -5.03

Entry 16:
Density functional theory data (PBE-GGA) for a relaxed structure of ReRh4.

Structure (POSCAR):
```
ReRh4
1.0
-2.840 2.840 2.840
2.840 -2.840 2.840
2.840 2.840 -2.840
Rh Re
4 1
Direct
0.000 0.000 0.500
0.500 0.500 0.500
0.500 0.000 0.000
0.000 0.500 0.000
0.000 0.000 0.000
```

Results
Energy of formation (meV/atom): 860
Relative energy among the computed polymorphs (meV/atom): 922

Entry 17:
Density functional theory data (PBE-GGA) for a relaxed structure of Ac3Pm2Cd2.

Structure (POSCAR):
```
Ac3Pm2Cd2
1.0
-4.292 -3.059 0.047
2.178 -3.051 0.319
-2.669 -0.605 12.421
Ac Pm Cd
3 2 2
Direct
0.854 0.000 0.291
0.000 0.000 0.000
0.146 0.000 0.709
0.714 0.500 0.572
0.286 0.500 0.428
0.573 0.500 0.855
0.427 0.500 0.145
```

Results
Energy of formation (meV/atom): -23

Entry 18:
Density functional theory data (PBE-GGA) for a relaxed structure of TaGePd3.

Structure (POSCAR):
```
TaGePd3
1.0
-1.524 4.524 -0.881
0.341 -0.814 -4.773
-4.596 -1.560 -0.062
Ge Pd Ta
1 3 1
Direct
0.500 0.500 0.500
0.500 0.000 0.000
0.000 0.000 0.500
0.000 0.500 0.000
0.000 0.000 0.000
```

Results
Energy of formation (meV/atom): 900
Relative energy among the computed polymorphs (meV/atom): 297

Entry 19:
Density functional theory data (PBE-GGA) for a relaxed structure of SrErGaPb.

Structure (POSCAR):
```
SrErGaPb
1.0
5.446 0.000 0.000
2.723 4.717 0.000
2.723 1.572 4.447
Er Ga Pb Sr
1 1 1 1
Direct
0.000 0.000 0.000
0.250 0.250 0.250
0.750 0.750 0.750
0.500 0.500 0.500
```

Results
Energy of formation (meV/atom): -357

Entry 20:
Density functional theory data (PBE-GGA) for a relaxed structure of RePHCl2.

Structure (POSCAR):
```
RePHCl2
1.0
4.939 0.000 0.000
0.000 4.939 0.000
0.000 0.000 4.560
P Cl H Re
1 2 1 1
Direct
0.000 0.000 0.500
0.000 0.500 0.000
0.500 0.000 0.000
0.500 0.500 0.500
0.000 0.000 0.000
```

Results
Relative energy among the computed polymorphs (meV/atom): 0